(1)
Entry from the Alexandria database: a relaxed TaCd2Hg crystal (GGA-PBE).

Cell and atoms, written as POSCAR:
```
TaCd2Hg
1.0
6.074 0.000 0.000
0.000 9.256 0.000
0.000 0.000 2.938
Ta Cd Hg
2 4 2
direct
0.000 0.000 0.000
0.500 0.500 0.000
0.250 0.250 0.500
0.250 0.750 0.500
0.750 0.250 0.500
0.750 0.750 0.500
0.000 0.500 0.000
0.500 0.000 0.000
```

Values from the calculation:
The calculation puts the formation energy at 0.31 eV/atom. The calculation puts the magnetization at 0.00 μB per formula unit.

---

(2)
Entry from the Alexandria database: a relaxed Ta4Cd2Hg crystal (GGA-PBE).

Cell and atoms, written as POSCAR:
```
Ta4Cd2Hg
1.0
5.006 0.000 0.000
0.000 5.006 0.000
0.000 0.000 13.984
Ta Cd Hg
8 4 2
direct
0.000 0.000 0.188
0.000 0.000 0.812
0.000 0.500 0.000
0.000 0.500 0.500
0.500 0.000 0.000
0.500 0.000 0.500
0.500 0.500 0.312
0.500 0.500 0.688
0.000 0.000 0.384
0.000 0.000 0.616
0.500 0.500 0.116
0.500 0.500 0.884
0.000 0.000 0.000
0.500 0.500 0.500
```

Values from the calculation:
The calculation puts the formation energy at 1.99 eV/atom. The calculation puts the magnetization at 3.36 μB per formula unit.

---

(3)
Entry from the Alexandria database: a relaxed Ta3CdHg crystal (GGA-PBE).

Cell and atoms, written as POSCAR:
```
Ta3CdHg
1.0
5.038 0.000 0.000
0.000 5.038 0.000
0.000 0.000 5.038
Ta Cd Hg
3 1 1
direct
0.000 0.000 0.500
0.000 0.500 0.000
0.500 0.000 0.000
0.500 0.500 0.500
0.000 0.000 0.000
```

Values from the calculation:
The calculation puts the formation energy at 2.07 eV/atom. The calculation puts the magnetization at 0.82 μB per formula unit.

---

(4)
Entry from the Alexandria database: a relaxed TaCd2Hg crystal (GGA-PBE).

Cell and atoms, written as POSCAR:
```
TaCd2Hg
1.0
2.981 0.000 0.000
0.000 2.981 0.000
0.000 0.000 9.324
Ta Cd Hg
1 2 1
direct
0.000 0.000 0.000
0.500 0.500 0.236
0.500 0.500 0.764
0.000 0.000 0.500
```

Values from the calculation:
The calculation puts the formation energy at 0.24 eV/atom. The calculation puts the magnetization at 0.00 μB per formula unit.